This record from the Alexandria database describes crystalline Ac9La2Dy at its relaxed geometry. The functional is PBE. Values from VASP.

Properties
The value obtained for the volume is 509 Å³ per cell. For the raw total energy, the calculation gives -0.157 Ha/atom. Its space group is P4/mmm.

Quantum ESPRESSO input file:
```
&SYSTEM
  ibrav = 0, nat = 12, ntyp = 3
/
ATOMIC_SPECIES
Ac 227.00 Ac.upf
La 138.91 La.upf
Dy 162.50 Dy.upf
CELL_PARAMETERS angstrom
5.532 0.000 0.000
0.000 5.532 0.000
0.000 0.000 16.628
ATOMIC_POSITIONS crystal
Ac 0.500 0.500 0.000
Ac 0.500 0.500 0.332
Ac 0.500 0.500 0.668
Ac 0.500 0.000 0.164
Ac 0.500 0.000 0.500
Ac 0.500 0.000 0.836
Ac 0.000 0.500 0.164
Ac 0.000 0.500 0.500
Ac 0.000 0.500 0.836
La 0.000 0.000 0.332
La 0.000 0.000 0.668
Dy 0.000 0.000 0.000
```